Here is a geometry-optimized NaSnPdI2 structure from the Alexandria database. Energies are from PBEsol.

Cell: 5.7154 5.7154 5.0169 Å, 90.00 90.00 90.00°
Space group P4/mmm (No. 123)
One atom of each set of equivalent atoms:
Na1 0.0000 0.0000 0.0000 x1
Sn1 0.5000 0.5000 0.0000 x1
Pd1 0.5000 0.5000 0.5000 x1
I1 0.0000 0.5000 0.5000 x2

Its crystal system is tetragonal. The raw formation energy comes out at -0.266 eV per atom. The calculation puts the energy at -16.48 eV for the cell shown.